This record from the Alexandria database describes a geometry-optimized Al2Si2Ni structure. The functional is GGA-PBE.

Properties
**Fermi-level density of states**: 4.1 states/eV per cell
**Uncorrected formation energy**: 126 meV/atom

Unit cell a=3.5722 b=3.5722 c=13.3029 alpha=90.00 beta=90.00 gamma=90.00
With the nearest neighbours (Å) after each atom.
Fractional coordinates of all 10 atoms:
Al1 0.2500 0.2500 0.1473  5 Si 2.47-2.65
Al2 0.2500 0.7500 0.5000  4 Ni 2.45, 4 Al 2.53
Al3 0.7500 0.2500 0.5000  4 Ni 2.45, 4 Al 2.53
Al4 0.7500 0.7500 0.8527  5 Si 2.47-2.65
Si1 0.2500 0.2500 0.3328  1 Al 2.47, 4 Ni 2.58
Si2 0.2500 0.7500 0.0000  4 Si 2.53, 4 Al 2.65
Si3 0.7500 0.2500 0.0000  4 Si 2.53, 4 Al 2.65
Si4 0.7500 0.7500 0.6672  1 Al 2.47, 4 Ni 2.58
Ni1 0.2500 0.2500 0.6261  4 Al 2.45, 4 Si 2.58
Ni2 0.7500 0.7500 0.3739  4 Al 2.45, 4 Si 2.58